No. 1
DFT (PBE) results for an optimized crystal structure of LaTa2Pt.

Unit cell a=6.732 b=6.732 c=6.732 alpha=90.00 beta=90.00 gamma=90.00
Space group Fm-3m (No. 225)
Inequivalent atoms, fractional coordinates:
La (0.000, 0.000, 0.000)
Ta (0.250, 0.250, 0.250)
Pt (0.000, 0.000, 0.500)

DOS at the Fermi energy	1.397	states/eV per atom
energy above the lowest structure with this stoichiometry	325	meV per atom

=====

No. 2
DFT (PBE) results for an optimized crystal structure of Er4SbRh.

Unit cell a=8.869 b=13.268 c=5.999 alpha=90.00 beta=114.85 gamma=90.00
Space group C2/c (No. 15)
Inequivalent atoms, fractional coordinates:
Er (0.114, 0.174, 0.073)
Er (0.217, 0.427, 0.334)
Sb (0.000, 0.374, 0.750)
Rh (0.000, 0.001, 0.250)

DOS at the Fermi energy	0.901	states/eV per atom
energy above the lowest structure with this stoichiometry	46	meV per atom
formation energy from raw total energies	-0.6850	eV per atom

=====

No. 3
DFT (PBE) results for an optimized crystal structure of Ta2NbTeOs.

Unit cell a=4.919 b=4.919 c=4.834 alpha=90.00 beta=90.00 gamma=90.00
Space group P4/mmm (No. 123)
Inequivalent atoms, fractional coordinates:
Ta (0.000, 0.500, 0.000)
Nb (0.000, 0.000, 0.000)
Te (0.500, 0.500, 0.500)
Os (0.000, 0.000, 0.500)

DOS at the Fermi energy	1.398	states/eV per atom
formation energy from raw total energies	1.7131	eV per atom

=====

No. 4
DFT (PBE) results for an optimized crystal structure of Cu2Pd3Pt4.

Unit cell a=8.751 b=3.893 c=8.306 alpha=90.00 beta=109.01 gamma=90.00
Space group C2/m (No. 12)
Inequivalent atoms, fractional coordinates:
Cu (0.164, 0.000, 0.222)
Pd (0.000, 0.500, 0.000)
Pd (0.170, 0.000, 0.556)
Pt (0.005, 0.500, 0.670)
Pt (0.167, 0.000, 0.890)

DOS at the Fermi energy	1.586	states/eV per atom
energy above the lowest structure with this stoichiometry	0	meV per atom

=====

No. 5
DFT (PBE) results for an optimized crystal structure of TbSmAlRu.

Unit cell a=7.101 b=7.101 c=7.101 alpha=90.00 beta=90.00 gamma=90.00
Space group F-43m (No. 216)
Inequivalent atoms, fractional coordinates:
Tb (0.000, 0.000, 0.000)
Sm (0.000, 0.000, 0.500)
Al (0.250, 0.250, 0.750)
Ru (0.250, 0.250, 0.250)

energy	-5.88	eV/atom
DOS at the Fermi energy	0.645	states/eV per atom

=====

No. 6
DFT (PBE) results for an optimized crystal structure of Ca3NdPd.

Unit cell a=5.621 b=5.621 c=5.621 alpha=90.00 beta=90.00 gamma=90.00
Space group Pm-3m (No. 221)
Inequivalent atoms, fractional coordinates:
Ca (0.000, 0.000, 0.500)
Nd (0.500, 0.500, 0.500)
Pd (0.000, 0.000, 0.000)

energy	-3.34	eV/atom
DOS at the Fermi energy	0.892	states/eV per atom

=====

No. 7
DFT (PBE) results for an optimized crystal structure of Rb12P5I3.

Unit cell a=20.836 b=20.836 c=20.836 alpha=90.00 beta=90.00 gamma=90.00
Space group Ia-3d (No. 230)
Inequivalent atoms, fractional coordinates:
Rb (0.029, 0.060, 0.645)
P (0.000, 0.000, 0.000)
P (0.000, 0.250, 0.375)
I (0.000, 0.250, 0.125)

DOS at the Fermi energy	0.964	states/eV per atom
formation energy from raw total energies	-0.2990	eV per atom

=====

No. 8
DFT (PBE) results for an optimized crystal structure of Pr3AlS6.

Unit cell a=11.112 b=13.793 c=6.678 alpha=90.00 beta=90.00 gamma=90.00
Space group Cmc2_1 (No. 36)
Inequivalent atoms, fractional coordinates:
Pr (0.000, 0.102, 0.000)
Pr (0.185, 0.399, 0.081)
Al (0.000, 0.303, 0.624)
S (0.000, 0.284, 0.287)
S (0.000, 0.457, 0.755)
S (0.161, 0.024, 0.291)
S (0.161, 0.238, 0.786)

DOS at the Fermi energy	0.000	states/eV per atom
formation energy from raw total energies	-1.8360	eV per atom

=====

No. 9
DFT (PBE) results for an optimized crystal structure of Sn4Te3O.

Unit cell a=10.796 b=7.822 c=6.359 alpha=90.00 beta=90.00 gamma=90.00
Space group Pmn2_1 (No. 31)
Inequivalent atoms, fractional coordinates:
Sn (0.000, 0.084, 0.000)
Sn (0.000, 0.715, 0.395)
Sn (0.169, 0.708, 0.894)
Te (0.000, 0.081, 0.465)
Te (0.210, 0.333, 0.973)
O (0.000, 0.654, 0.724)

formation energy from raw total energies	-0.4185	eV per atom

=====

No. 10
DFT (PBE) results for an optimized crystal structure of Na2MnSbTe4.

Unit cell a=7.381 b=4.256 c=7.999 alpha=90.00 beta=107.86 gamma=90.00
Space group P2/m (No. 10)
Inequivalent atoms, fractional coordinates:
Na (0.000, 0.000, 0.000)
Na (0.500, 0.500, 0.000)
Mn (0.000, 0.500, 0.500)
Sb (0.500, 0.000, 0.500)
Te (0.220, 0.000, 0.711)
Te (0.234, 0.500, 0.282)

DOS at the Fermi energy	0.366	states/eV per atom
formation energy from raw total energies	-0.4318	eV per atom

=====

No. 11
DFT (PBE) results for an optimized crystal structure of ZnSiTeSe2.

Unit cell a=4.886 b=4.886 c=5.272 alpha=90.00 beta=90.00 gamma=90.00
Space group P4/mmm (No. 123)
Inequivalent atoms, fractional coordinates:
Zn (0.000, 0.000, 0.000)
Si (0.500, 0.500, 0.500)
Te (0.000, 0.000, 0.500)
Se (0.000, 0.500, 0.000)

DOS at the Fermi energy	0.652	states/eV per atom
formation energy from raw total energies	0.5953	eV per atom

=====

No. 12
DFT (PBE) results for an optimized crystal structure of MgSnAsSe2.

Unit cell a=5.107 b=5.107 c=4.972 alpha=90.00 beta=90.00 gamma=90.00
Space group P4/mmm (No. 123)
Inequivalent atoms, fractional coordinates:
Mg (0.000, 0.000, 0.000)
Sn (0.500, 0.500, 0.500)
As (0.000, 0.000, 0.500)
Se (0.000, 0.500, 0.000)

DOS at the Fermi energy	1.036	states/eV per atom
energy above the lowest structure with this stoichiometry	0	meV per atom
formation energy from raw total energies	0.1404	eV per atom

=====

No. 13
DFT (PBE) results for an optimized crystal structure of PrHo9Er2.

Unit cell a=11.1746 b=11.1746 c=3.5021 alpha=90.00 beta=90.00 gamma=120.00
Space group P6/mmm (No. 191)
Inequivalent atoms, fractional coordinates:
Pr (0.0000, 0.0000, 0.0000)
Ho (0.0000, 0.5000, 0.0000)
Ho (0.1788, 0.3577, 0.5000)
Er (0.3333, 0.6667, 0.0000)

DOS at the Fermi energy	1.320	states/eV per atom
energy above the lowest structure with this stoichiometry	13	meV per atom

=====

No. 14
DFT (PBE) results for an optimized crystal structure of Tm4Ag3Hg2.

Unit cell a=9.413 b=4.871 c=9.251 alpha=90.00 beta=99.21 gamma=90.00
Space group C2/m (No. 12)
Inequivalent atoms, fractional coordinates:
Tm (0.043, 0.000, 0.333)
Tm (0.150, 0.500, 0.893)
Ag (0.000, 0.000, 0.000)
Ag (0.146, 0.500, 0.556)
Hg (0.212, 0.500, 0.241)

energy	-3.31	eV/atom
DOS at the Fermi energy	0.635	states/eV per atom

=====

No. 15
DFT (PBE) results for an optimized crystal structure of TcHgSF2.

Unit cell a=4.356 b=4.356 c=5.381 alpha=90.00 beta=90.00 gamma=90.00
Space group P4/mmm (No. 123)
Inequivalent atoms, fractional coordinates:
Tc (0.000, 0.000, 0.000)
Hg (0.500, 0.500, 0.500)
S (0.500, 0.500, 0.000)
F (0.000, 0.500, 0.500)

DOS at the Fermi energy	0.169	states/eV per atom
formation energy from raw total energies	-0.0710	eV per atom

=====

No. 16
DFT (PBE) results for an optimized crystal structure of CaAsRuO5.

Unit cell a=6.827 b=9.063 c=7.247 alpha=90.00 beta=114.10 gamma=90.00
Space group C2/c (No. 15)
Inequivalent atoms, fractional coordinates:
Ca (0.000, 0.172, 0.250)
As (0.000, 0.183, 0.750)
Ru (0.000, 0.500, 0.000)
O (0.000, 0.421, 0.250)
O (0.118, 0.287, 0.620)
O (0.177, 0.063, 0.929)

DOS at the Fermi energy	0.286	states/eV per atom
formation energy from raw total energies	-1.5801	eV per atom

=====

No. 17
DFT (PBE) results for an optimized crystal structure of KNa4Cd4.

Unit cell a=11.029 b=11.029 c=4.492 alpha=90.00 beta=90.00 gamma=90.00
Space group I4/mmm (No. 139)
Inequivalent atoms, fractional coordinates:
K (0.000, 0.000, 0.000)
Na (0.000, 0.318, 0.000)
Cd (0.187, 0.187, 0.500)

energy	-1.16	eV/atom
DOS at the Fermi energy	0.529	states/eV per atom

=====

No. 18
DFT (PBE) results for an optimized crystal structure of Ba3CdAg.

Unit cell a=6.422 b=6.422 c=6.422 alpha=90.00 beta=90.00 gamma=90.00
Space group Pm-3m (No. 221)
Inequivalent atoms, fractional coordinates:
Ba (0.000, 0.000, 0.500)
Cd (0.500, 0.500, 0.500)
Ag (0.000, 0.000, 0.000)

DOS at the Fermi energy	0.816	states/eV per atom
energy above the lowest structure with this stoichiometry	188	meV per atom

=====

No. 19
DFT (PBE) results for an optimized crystal structure of HfSb2TeW.

Unit cell a=5.172 b=5.172 c=5.422 alpha=90.00 beta=90.00 gamma=90.00
Space group P4/mmm (No. 123)
Inequivalent atoms, fractional coordinates:
Hf (0.000, 0.000, 0.000)
Sb (0.000, 0.500, 0.500)
Te (0.500, 0.500, 0.000)
W (0.500, 0.500, 0.500)

DOS at the Fermi energy	1.191	states/eV per atom
energy above the lowest structure with this stoichiometry	0	meV per atom
formation energy from raw total energies	1.0182	eV per atom

=====

No. 20
DFT (PBE) results for an optimized crystal structure of YGaSn2Cl8.

Unit cell a=6.483 b=6.803 c=8.686 alpha=88.45 beta=89.02 gamma=88.70
Space group P-1 (No. 2)
Inequivalent atoms, fractional coordinates:
Y (0.000, 0.000, 0.000)
Ga (0.000, 0.000, 0.500)
Sn (0.496, 0.490, 0.747)
Cl (0.212, 0.823, 0.776)
Cl (0.240, 0.856, 0.224)
Cl (0.244, 0.312, 0.973)
Cl (0.284, 0.344, 0.527)

DOS at the Fermi energy	0.000	states/eV per atom
formation energy from raw total energies	-1.3688	eV per atom